[1]
Entry from the Open Quantum Materials Database: AcBeNi after structural relaxation (GGA-PBE).

```
AcBeNi
1.0
0.000 3.388 3.388
3.388 0.000 3.388
3.388 3.388 0.000
Ac Ni Be
1 1 1
Cartesian
0.000 0.000 0.000 Ac
5.082 5.082 5.082 Ni
1.694 1.694 1.694 Be
```

Properties
- Energy above the lowest structure with this stoichiometry: 0.640 eV/atom
- Total magnetization: 0.00 μB per formula unit
- Symmetry: F-43m

[2]
Entry from the Open Quantum Materials Database: Li2ZrGa after structural relaxation (GGA-PBE).

```
Li2ZrGa
1.0
0.000 3.222 3.222
3.222 0.000 3.222
3.222 3.222 0.000
Ga Zr Li
1 1 2
Cartesian
3.222 3.222 3.222 Ga
1.611 1.611 1.611 Zr
0.000 0.000 0.000 Li
4.833 4.833 4.833 Li
```

Properties
- Total magnetization: 0.00 μB per formula unit
- Uncorrected energy: -15.98 eV for the cell shown
- Symmetry: F-43m

[3]
Entry from the Open Quantum Materials Database: NdDyCo2Ge2 after structural relaxation (GGA-PBE).

```
NdDyCo2Ge2
1.0
4.106 0.000 0.000
0.000 4.106 0.000
0.000 0.000 6.785
Ge Nd Dy Co
2 1 1 2
Cartesian
2.053 2.053 5.449 Ge
0.000 0.000 1.264 Ge
2.053 2.053 2.169 Nd
0.000 0.000 4.747 Dy
0.000 2.053 6.755 Co
2.053 0.000 6.755 Co
```

Properties
- Total magnetization: 0.69 μB per formula unit
- Uncorrected energy: -36.59 eV for the cell shown
- Symmetry: P4mm